## Er3Tm8Tl4 (PBE)

Data for crystalline Er3Tm8Tl4 at its relaxed geometry.

Space-group type: C2/m
Fermi-level density of states: 19.49 states/eV/cell
Energy of formation from the pure elements: 139 meV per atom
VASP energy: -56.84 eV/cell

Cell lengths 11.0562, 9.0478, 9.0478 Å; angles 89.04, 127.93, 127.93 degrees
With the nearest neighbours (Å) after each atom.
Element x y z (fractional)
Tm  0.9857  0.2478  0.2478  4 Tl 3.07-3.33, 2 Tm 3.26-3.28, 1 Er 3.32
Tm  0.5000  0.2366  0.7634  3 Tl 3.00-3.20, 3 Er 3.23-3.34
Er  0.5000  0.5000  0.0000  6 Tm 3.18-3.49, 2 Tl 3.27
Tl  0.5000  0.0000  0.0000  6 Tm 3.00-3.07
Tl  0.0000  0.0000  0.0000  2 Er 3.27, 4 Tm 3.33-3.42
Tl  0.0000  0.0000  0.5000  6 Tm 3.17-3.52, 2 Er 3.27
Tl  0.0000  0.5000  0.0000  6 Tm 3.17-3.52, 2 Er 3.27
Tm  0.0000  0.3605  0.6395  7 Tm 3.46-3.59, 2 Er 3.49, 4 Tl 3.52-3.72
Tm  0.5255  0.2536  0.2536  1 Tl 3.03, 2 Er 3.18, 2 Tm 3.26-3.28
Er  0.5000  0.5000  0.5000  2 Tl 3.27, 6 Tm 3.32-3.43
Tm  0.0000  0.6395  0.3605  7 Tm 3.46-3.59, 2 Er 3.49, 4 Tl 3.52-3.72
Er  0.5000  0.0000  0.5000  6 Tm 3.18-3.49, 2 Tl 3.27
Tm  0.4745  0.7464  0.7464  1 Tl 3.03, 2 Er 3.18, 2 Tm 3.26-3.28
Tm  0.0143  0.7522  0.7522  4 Tl 3.07-3.33, 2 Tm 3.26-3.28, 1 Er 3.32
Tm  0.5000  0.7634  0.2366  3 Tl 3.00-3.20, 3 Er 3.23-3.34